A relaxed structure of Ba2CoAg, computed with PBE.

As for the formation energy: 0.16 eV per atom. The value obtained for the size of the total moment is 0.12 μB per atom. As for the total energy: -13.2 eV/f.u.

CIF file:
```
data_Ba2CoAg
_cell_length_a 4.5605
_cell_length_b 4.5605
_cell_length_c 25.1845
_cell_angle_alpha 90.00
_cell_angle_beta 90.00
_cell_angle_gamma 120.00
_symmetry_space_group_name_H-M 'R 3 m'
_symmetry_Int_Tables_number 160
_symmetry_space_group_name_Hall 'R 3 -2"'
loop_
_atom_site_label
_atom_site_type_symbol
_atom_site_fract_x
_atom_site_fract_y
_atom_site_fract_z
Ba1 Ba 0.0000 0.0000 0.0000
Ba2 Ba 0.0000 0.0000 0.1679
Co1 Co 0.0000 0.0000 0.7508
Ag1 Ag 0.0000 0.0000 0.4172
```